VASP calculation (GGA+U) on a geometry-optimized Na2GeMo2O6 structure.

The total energy is -6.201 eV/atom. The crystal system is monoclinic.

The structure belongs to space group C2/m (No. 12); the cell edges are 5.613, 8.691 and 5.810 Å and the angles 90.00°, 105.98° and 90.00°. The inequivalent atoms are Na at (0.000, 0.180, 0.000), Ge at (0.000, 0.000, 0.500), Mo at (0.000, 0.359, 0.500), O at (0.213, 0.162, 0.684) and O at (0.217, 0.000, 0.288).